Ac4Tl5Pb3 after structural relaxation, computed with PBE-GGA.

## Properties
**ρ**: 10.1 Mg/m³
**SG**: No. 12
**Formation energy**: -0.22 eV per atom

a = 9.721 Å, b = 9.721 Å, c = 8.692 Å
α = 110.46°, β = 110.46°, γ = 33.30°
Positions (direct):
Ac 0.094 0.094 0.412
Ac 0.161 0.161 0.914
Ac 0.839 0.839 0.086
Ac 0.906 0.906 0.588
Tl 0.000 0.000 0.000
Tl 0.317 0.317 0.760
Tl 0.447 0.447 0.317
Tl 0.553 0.553 0.683
Tl 0.683 0.683 0.240
Pb 0.284 0.284 0.345
Pb 0.500 0.500 0.000
Pb 0.716 0.716 0.655

Ac3TlPb2 after structural relaxation, computed with PBE-GGA.

## Properties
**Energy above the most stable polymorph in this dataset**: 0 meV/atom
**ρ**: 9.6 Mg/m³
**SG**: No. 62
**Formation energy**: -0.44 eV per atom

a = 13.585 Å, b = 5.074 Å, c = 13.061 Å
α = 90.00°, β = 90.00°, γ = 90.00°
Positions (direct):
Ac 0.041 0.250 0.126
Ac 0.132 0.750 0.566
Ac 0.208 0.250 0.808
Ac 0.292 0.750 0.308
Ac 0.368 0.250 0.066
Ac 0.459 0.750 0.626
Ac 0.541 0.250 0.374
Ac 0.632 0.750 0.934
Ac 0.708 0.250 0.692
Ac 0.792 0.750 0.192
Ac 0.868 0.250 0.434
Ac 0.959 0.750 0.874
Tl 0.145 0.250 0.361
Tl 0.355 0.750 0.861
Tl 0.645 0.250 0.139
Tl 0.855 0.750 0.639
Pb 0.006 0.750 0.322
Pb 0.182 0.750 0.026
Pb 0.318 0.250 0.526
Pb 0.494 0.250 0.822
Pb 0.506 0.750 0.178
Pb 0.682 0.750 0.474
Pb 0.818 0.250 0.974
Pb 0.994 0.250 0.678